Computed, not measured: crystalline LaSbTe at its relaxed geometry at the GGA-PBE level of DFT.

a = 6.0832 Å, b = 6.0832 Å, c = 6.0832 Å
α = 138.58°, β = 138.58°, γ = 60.01°
Atoms (fractional coordinates):
La (0.0000, 0.0000, 0.0000)
Sb (0.6217, 0.6217, 0.0000)
Te (0.3448, 0.3448, 0.0000)

Results
Total energy: -4.981 eV/atom
Calculated volume: 97.5 Å³/cell
ρ: 6.61 g/cm³
Formation energy (no corrections): -0.92 eV/atom



Computed, not measured: crystalline K5Na3Ta5Nb3O24 at its relaxed geometry at the GGA-PBE level of DFT.

a = 8.0473 Å, b = 8.0500 Å, c = 8.0964 Å
α = 89.88°, β = 89.90°, γ = 89.94°
Atoms (fractional coordinates):
K (0.0000, 0.0000, 0.0000)
K (0.0000, 0.0004, 0.4994)
K (0.9996, 0.5012, 0.4995)
K (0.4996, 0.9999, 0.0002)
K (0.5001, 0.9999, 0.4993)
Na (0.4914, 0.4930, 0.9826)
Na (0.4926, 0.4933, 0.4849)
Na (0.9921, 0.4920, 0.9833)
Ta (0.2468, 0.2490, 0.2452)
Ta (0.2491, 0.2506, 0.7467)
Ta (0.2496, 0.7473, 0.7451)
Ta (0.7476, 0.2508, 0.7448)
Ta (0.7480, 0.7473, 0.7459)
Nb (0.2438, 0.7443, 0.2429)
Nb (0.7424, 0.7413, 0.2437)
Nb (0.7456, 0.2459, 0.2430)
O (0.0037, 0.2577, 0.7586)
O (0.0042, 0.7510, 0.7590)
O (0.0059, 0.2607, 0.2541)
O (0.0057, 0.7533, 0.2565)
O (0.2541, 0.0049, 0.7569)
O (0.2549, 0.0077, 0.2547)
O (0.2551, 0.2607, 0.0060)
O (0.2547, 0.5038, 0.7596)
O (0.2554, 0.7497, 0.0059)
O (0.2565, 0.2581, 0.5071)
O (0.2566, 0.7513, 0.5090)
O (0.2611, 0.5044, 0.2588)
O (0.5032, 0.2597, 0.7591)
O (0.5036, 0.2602, 0.2562)
O (0.5038, 0.7498, 0.7602)
O (0.5049, 0.7548, 0.2578)
O (0.7508, 0.2582, 0.5087)
O (0.7524, 0.0052, 0.7576)
O (0.7530, 0.5052, 0.2586)
O (0.7526, 0.7525, 0.5095)
O (0.7537, 0.2605, 0.0055)
O (0.7544, 0.5041, 0.7617)
O (0.7552, 0.0072, 0.2555)
O (0.7548, 0.7510, 0.0063)

Results
Total energy: -8.015 eV/atom
Calculated volume: 524.5 Å³/cell
ρ: 5.80 g/cm³
Formation energy (no corrections): -2.57 eV/atom



Computed, not measured: crystalline CdAg2Se2O6 at its relaxed geometry at the GGA-PBE level of DFT.

a = 5.3980 Å, b = 5.3980 Å, c = 7.0805 Å
α = 113.73°, β = 113.73°, γ = 65.01°
Atoms (fractional coordinates):
Cd (0.0000, 0.0000, 0.0000)
Ag (0.1766, 0.1766, 0.6010)
Ag (0.8234, 0.8234, 0.3990)
Se (0.4246, 0.4246, 0.2486)
Se (0.5754, 0.5754, 0.7514)
O (0.2106, 0.6710, 0.7278)
O (0.2641, 0.2641, 0.9924)
O (0.3290, 0.7894, 0.2722)
O (0.6710, 0.2106, 0.7278)
O (0.7359, 0.7359, 0.0076)
O (0.7894, 0.3290, 0.2722)

Results
Total energy: -4.574 eV/atom
Calculated volume: 164.3 Å³/cell
ρ: 5.88 g/cm³
Formation energy (no corrections): -0.63 eV/atom



Computed, not measured: crystalline NaCa2NdO4 at its relaxed geometry at the GGA-PBE level of DFT.

a = 5.9010 Å, b = 3.5056 Å, c = 5.9759 Å
α = 90.00°, β = 108.15°, γ = 90.00°
Atoms (fractional coordinates):
Na (0.0000, 0.0000, 0.0000)
Ca (0.0000, 0.5000, 0.5000)
Ca (0.5000, 0.0000, 0.5000)
Nd (0.5000, 0.5000, 0.0000)
O (0.2598, 0.0000, 0.7521)
O (0.2690, 0.5000, 0.2650)
O (0.7310, 0.5000, 0.7350)
O (0.7402, 0.0000, 0.2479)

Results
Total energy: -6.495 eV/atom
Calculated volume: 117.5 Å³/cell
ρ: 4.40 g/cm³
Formation energy (no corrections): -2.75 eV/atom



Computed, not measured: crystalline Ba2CaTl2 at its relaxed geometry at the GGA-PBE level of DFT.

a = 10.4734 Å, b = 10.4734 Å, c = 10.4734 Å
α = 153.43°, β = 153.43°, γ = 37.93°
Atoms (fractional coordinates):
Ba (0.1139, 0.1139, 0.0000)
Ba (0.8861, 0.8861, 0.0000)
Ca (0.5000, 0.5000, 0.0000)
Tl (0.2500, 0.7500, 0.5000)
Tl (0.7500, 0.2500, 0.5000)

Results
Total energy: -2.122 eV/atom
Calculated formation energy: -0.006 eV per atom
Calculated volume: 229.5 Å³/cell
ρ: 5.23 g/cm³



Computed, not measured: crystalline NiB4 at its relaxed geometry at the GGA-PBE level of DFT.

a = 4.4692 Å, b = 4.4692 Å, c = 4.4692 Å
α = 142.14°, β = 132.30°, γ = 62.45°
Atoms (fractional coordinates):
Ni (0.0000, 0.0000, 0.0000)
B (0.3897, 0.8897, 0.5000)
B (0.4660, 0.7028, 0.7633)
B (0.6176, 0.1176, 0.5000)
B (0.9395, 0.7028, 0.2367)

Results
Total energy: -6.394 eV/atom
Calculated formation energy: 0.104 eV per atom
Calculated volume: 40.0 Å³/cell
ρ: 4.23 g/cm³



Which of these has the highest calculated volume?
K5Na3Ta5Nb3O24